## EuFeIr (PBE)

Data for a relaxed structure of EuFeIr.

Unit cell a=4.2917 b=4.1215 c=4.1215 alpha=120.00 beta=90.00 gamma=90.00
With the nearest neighbours (Å) after each atom.
Element x y z (fractional)
Eu 0.6667 0.3333 0.6667  6 Ir 3.20, 6 Fe 3.20
Ir 0.1667 0.6667 0.3333  3 Fe 2.38
Fe 0.1666 0.0000 0.0000  3 Ir 2.38

Properties
E_form   -0.1012 eV per atom
Space group   No. 187